{"formula": "Na2TlCuCl6", "functional": "PBE", "state": "optimized geometry", "relative_energy_mev_per_atom": 0.0, "magnetic_moment_mub_per_fu": 0.0, "raw_formation_energy_mev_per_atom": -1066.9, "lattice_angstrom": [[6.657, 0.000, 0.000], [0.000, 7.097, 0.000], [-5.990, 0.000, 10.184]], "species": ["Na", "Na", "Na", "Na", "Tl", "Tl", "Cu", "Cu", "Cl", "Cl", "Cl", "Cl", "Cl", "Cl", "Cl", "Cl", "Cl", "Cl", "Cl", "Cl"], "fractional_positions": [[0.198, 0.090, 0.235], [0.198, 0.410, 0.735], [0.802, 0.590, 0.265], [0.802, 0.910, 0.765], [0.500, 0.000, 0.000], [0.500, 0.500, 0.500], [0.000, 0.000, 0.500], [0.000, 0.500, 0.000], [0.122, 0.203, 0.942], [0.122, 0.297, 0.442], [0.214, 0.673, 0.928], [0.214, 0.827, 0.428], [0.384, 0.036, 0.749], [0.384, 0.464, 0.249], [0.616, 0.536, 0.751], [0.616, 0.964, 0.251], [0.786, 0.173, 0.572], [0.786, 0.327, 0.072], [0.878, 0.703, 0.558], [0.878, 0.797, 0.058]]}

{"formula": "NaTlSn", "functional": "PBE", "state": "optimized geometry", "magnetic_moment_mub_per_fu": 0.0, "ef_ev_per_atom": -0.0689, "lattice_angstrom": [[4.885, 0.000, 0.000], [0.000, 4.885, 0.000], [0.000, 0.000, 7.797]], "species": ["Na", "Na", "Tl", "Tl", "Sn", "Sn"], "fractional_positions": [[0.250, 0.250, 0.166], [0.750, 0.750, 0.834], [0.250, 0.750, 0.500], [0.750, 0.250, 0.500], [0.250, 0.250, 0.751], [0.750, 0.750, 0.249]]}

{"formula": "SrSmGe4", "functional": "PBE", "state": "optimized geometry", "relative_energy_mev_per_atom": 134.2, "magnetic_moment_mub_per_fu": 0.0, "ef_ev_per_atom": -0.3407, "lattice_angstrom": [[0.000, 4.095, 4.095], [4.095, 0.000, 4.095], [4.095, 4.095, 0.000]], "species": ["Sr", "Sm", "Ge", "Ge", "Ge", "Ge"], "fractional_positions": [[0.000, 0.000, 0.000], [0.250, 0.250, 0.250], [0.132, 0.623, 0.623], [0.623, 0.132, 0.623], [0.623, 0.623, 0.132], [0.623, 0.623, 0.623]]}

{"formula": "ErScAgOs", "functional": "PBE", "state": "optimized geometry", "relative_energy_mev_per_atom": 72.0, "magnetic_moment_mub_per_fu": 0.0, "ef_ev_per_atom": -0.3232, "lattice_angstrom": [[6.779, 0.000, 0.000], [0.000, 6.779, 0.000], [0.000, 0.000, 6.779]], "species": ["Er", "Er", "Er", "Er", "Sc", "Sc", "Sc", "Sc", "Ag", "Ag", "Ag", "Ag", "Os", "Os", "Os", "Os"], "fractional_positions": [[0.000, 0.000, 0.000], [0.000, 0.500, 0.500], [0.500, 0.000, 0.500], [0.500, 0.500, 0.000], [0.000, 0.000, 0.500], [0.000, 0.500, 0.000], [0.500, 0.000, 0.000], [0.500, 0.500, 0.500], [0.250, 0.250, 0.250], [0.250, 0.750, 0.750], [0.750, 0.250, 0.750], [0.750, 0.750, 0.250], [0.250, 0.250, 0.750], [0.250, 0.750, 0.250], [0.750, 0.250, 0.250], [0.750, 0.750, 0.750]]}

{"formula": "CrPRu", "functional": "PBE", "state": "optimized geometry", "magnetic_moment_mub_per_fu": 0.0, "ef_ev_per_atom": -0.3825, "lattice_angstrom": [[8.263, 0.000, 0.000], [0.000, 2.924, 0.000], [-1.267, 0.000, 6.292]], "species": ["Cr", "Cr", "Cr", "Cr", "P", "P", "P", "P", "Ru", "Ru", "Ru", "Ru"], "fractional_positions": [[0.127, 0.000, 0.468], [0.373, 0.500, 0.532], [0.627, 0.500, 0.468], [0.873, 0.000, 0.532], [0.104, 0.500, 0.760], [0.396, 0.000, 0.240], [0.604, 0.000, 0.760], [0.896, 0.500, 0.240], [0.162, 0.500, 0.144], [0.338, 0.000, 0.856], [0.662, 0.000, 0.144], [0.838, 0.500, 0.856]]}

{"formula": "PmSmBr2", "functional": "PBE", "state": "optimized geometry", "relative_energy_mev_per_atom": 45.5, "magnetic_moment_mub_per_fu": 0.0, "raw_formation_energy_mev_per_atom": -1064.9, "lattice_angstrom": [[3.739, 0.000, 0.000], [-1.870, 3.238, 0.000], [0.000, 0.000, 30.621]], "species": ["Pm", "Pm", "Pm", "Sm", "Sm", "Sm", "Br", "Br", "Br", "Br", "Br", "Br"], "fractional_positions": [[0.000, 0.000, 0.000], [0.333, 0.667, 0.667], [0.667, 0.333, 0.333], [0.000, 0.000, 0.500], [0.333, 0.667, 0.167], [0.667, 0.333, 0.833], [0.000, 0.000, 0.404], [0.000, 0.000, 0.596], [0.333, 0.667, 0.070], [0.333, 0.667, 0.263], [0.667, 0.333, 0.737], [0.667, 0.333, 0.930]]}

{"formula": "Na2BeOF2", "functional": "PBE", "state": "optimized geometry", "magnetic_moment_mub_per_fu": 0.0, "raw_formation_energy_mev_per_atom": -2597.0, "lattice_angstrom": [[4.961, -2.793, 0.000], [4.961, 2.793, 0.000], [0.000, 0.000, 5.247]], "species": ["Na", "Na", "Na", "Na", "Be", "Be", "O", "O", "F", "F", "F", "F"], "fractional_positions": [[0.092, 0.615, 0.500], [0.385, 0.908, 0.500], [0.615, 0.092, 0.000], [0.908, 0.385, 0.000], [0.351, 0.649, 0.978], [0.649, 0.351, 0.478], [0.473, 0.527, 0.244], [0.527, 0.473, 0.744], [0.030, 0.703, 0.949], [0.297, 0.970, 0.949], [0.703, 0.030, 0.449], [0.970, 0.297, 0.449]]}

{"formula": "CaAlGePt3", "functional": "PBE", "state": "optimized geometry", "magnetic_moment_mub_per_fu": 0.0, "ef_ev_per_atom": -0.7417, "lattice_angstrom": [[2.845, -7.891, 0.000], [2.845, 7.891, 0.000], [0.000, 0.000, 5.683]], "species": ["Ca", "Ca", "Al", "Al", "Ge", "Ge", "Pt", "Pt", "Pt", "Pt", "Pt", "Pt"], "fractional_positions": [[0.213, 0.787, 0.750], [0.787, 0.213, 0.250], [0.404, 0.596, 0.250], [0.596, 0.404, 0.750], [0.095, 0.905, 0.250], [0.905, 0.095, 0.750], [0.250, 0.750, 0.250], [0.251, 0.251, 0.000], [0.251, 0.251, 0.500], [0.749, 0.749, 0.000], [0.749, 0.749, 0.500], [0.750, 0.250, 0.750]]}